Record 1
A plane-wave DFT calculation with meta-GGA SCAN was carried out for CaWCl2 at its PBEsol-relaxed geometry.

Geometry as POSCAR:
```
CaWCl2
1.0
3.0245 0.0000 0.0000
-1.5122 2.9412 0.0000
0.0000 0.0000 8.5964
Cl W Ca
2 1 1
Direct
0.0000 0.0000 0.7252
0.0000 0.0000 0.2748
0.5000 0.0000 0.5000
0.5000 0.0000 0.0000
```

Output
Raw formation energy = 90 meV/atom
Density of states at the Fermi level = 2.354 states/eV/f.u.

***

Record 2
A plane-wave DFT calculation with meta-GGA SCAN was carried out for CaWCl2 at its PBEsol-relaxed geometry.

Geometry as POSCAR:
```
CaWCl2
1.0
-2.6291 0.7649 1.4532
-1.4983 0.0060 -2.7137
-1.8306 -8.1778 0.9926
Cl W Ca
2 1 1
Direct
0.5000 0.5000 0.3170
0.0000 0.0000 0.9517
0.0000 0.0000 0.4696
0.5000 0.5000 0.7618
```

Output
Raw formation energy = -424 meV/atom

***

Record 3
A plane-wave DFT calculation with meta-GGA SCAN was carried out for CaWCl2 at its PBEsol-relaxed geometry.

Geometry as POSCAR:
```
CaWCl2
1.0
-4.3039 0.7748 -1.4977
-1.1026 -0.8545 -4.4069
-2.7596 -3.5583 -1.0439
W Cl Ca
1 2 1
Direct
0.5000 0.5000 0.5000
0.2500 0.2500 0.2500
0.7500 0.7500 0.7500
0.0000 0.0000 0.0000
```

Output
Raw formation energy = 284 meV/atom
Density of states at the Fermi level = 2.947 states/eV/f.u.

***

Record 4
A plane-wave DFT calculation with meta-GGA SCAN was carried out for CaWCl2 at its PBEsol-relaxed geometry.

Geometry as POSCAR:
```
CaWCl2
1.0
-1.6651 -2.4444 0.6076
2.4376 -2.4058 -2.9989
2.1346 -0.1761 5.1415
W Cl Ca
1 2 1
Direct
0.5000 0.5000 0.0000
0.0000 0.0000 0.0000
0.5000 0.5000 0.5000
0.0000 0.0000 0.5000
```

Output
Raw formation energy = -43 meV/atom
Density of states at the Fermi level = 2.287 states/eV/f.u.

***

Record 5
A plane-wave DFT calculation with meta-GGA SCAN was carried out for Ca3WCl at its PBEsol-relaxed geometry.

Geometry as POSCAR:
```
Ca3WCl
1.0
-3.8539 2.1244 -3.1659
2.1404 -2.5197 -4.2964
-3.1551 -4.3043 0.9525
W Cl Ca
1 1 3
Direct
0.0000 0.0000 0.0000
0.5000 0.5000 0.5000
0.0000 0.5000 0.0000
0.5000 0.0000 0.0000
0.0000 0.0000 0.5000
```

Output
Raw formation energy = 670 meV/atom
Density of states at the Fermi level = 4.340 states/eV/f.u.

***

Record 6
A plane-wave DFT calculation with meta-GGA SCAN was carried out for CaWCl at its PBEsol-relaxed geometry.

Geometry as POSCAR:
```
CaWCl
1.0
-1.9729 -2.6742 -3.8251
-3.3892 -3.6471 0.9417
-4.8517 0.6508 -1.3087
W Cl Ca
1 1 1
Direct
0.5000 0.5000 0.5000
0.0000 0.0000 0.0000
0.7500 0.7500 0.7500
```

Output
Raw formation energy = 1310 meV/atom
Density of states at the Fermi level = 0.030 states/eV/f.u.

***

Record 7
A plane-wave DFT calculation with meta-GGA SCAN was carried out for CaWCl at its PBEsol-relaxed geometry.

Geometry as POSCAR:
```
CaWCl
1.0
2.9336 0.0663 0.0000
-0.0857 2.9331 0.0000
-1.4239 -1.4997 7.2014
W Cl Ca
1 1 1
Direct
0.3463 0.3463 0.6927
0.6368 0.6368 0.2736
0.0169 0.0169 0.0337
```

Output
Raw formation energy = 345 meV/atom
Density of states at the Fermi level = 2.604 states/eV/f.u.

***

Record 8
A plane-wave DFT calculation with meta-GGA SCAN was carried out for Ca2YCl at its PBEsol-relaxed geometry.

Geometry as POSCAR:
```
Ca2YCl
1.0
-0.4554 2.5329 -2.3738
-2.2884 -2.0194 -1.7157
-7.1304 3.6286 5.2396
Cl Ca Y
1 2 1
Direct
0.5000 0.5000 0.0000
0.0000 0.0000 0.2176
0.0000 0.0000 0.7824
0.5000 0.5000 0.5000
```

Output
Raw formation energy = -744 meV/atom
Density of states at the Fermi level = 3.387 states/eV/f.u.

***

Record 9
A plane-wave DFT calculation with meta-GGA SCAN was carried out for CaYCl2 at its PBEsol-relaxed geometry.

Geometry as POSCAR:
```
CaYCl2
1.0
-3.0354 -0.7735 2.0988
-1.3082 -3.5310 0.1936
3.6970 -2.9639 7.6414
Cl Ca Y
2 1 1
Direct
0.1054 0.1054 0.6839
0.8946 0.8946 0.3161
0.5000 0.5000 0.5000
0.0000 0.0000 0.0000
```

Output
Raw formation energy = -1582 meV/atom
Density of states at the Fermi level = 3.244 states/eV/f.u.

***

Record 10
A plane-wave DFT calculation with meta-GGA SCAN was carried out for CaYCl2 at its PBEsol-relaxed geometry.

Geometry as POSCAR:
```
CaYCl2
1.0
-1.7181 2.9057 0.6008
-4.1799 -2.3879 -0.4047
0.0755 -0.9353 4.7389
Ca Y Cl
1 1 2
Direct
0.5000 0.0000 0.0000
0.5000 0.5000 0.5000
0.0000 0.5000 0.0000
0.0000 0.0000 0.5000
```

Output
Raw formation energy = -1175 meV/atom
Density of states at the Fermi level = 2.492 states/eV/f.u.

***

Record 11
A plane-wave DFT calculation with meta-GGA SCAN was carried out for CaZrCl at its PBEsol-relaxed geometry.

Geometry as POSCAR:
```
CaZrCl
1.0
3.2634 0.0837 0.0000
-1.1129 3.0689 0.0000
-1.0752 -1.5763 6.6873
Zr Ca Cl
1 1 1
Direct
0.6816 0.6816 0.3632
0.9892 0.9892 0.9784
0.3292 0.3292 0.6583
```

Output
Raw formation energy = -641 meV/atom
Density of states at the Fermi level = 1.380 states/eV/f.u.

***

Record 12
A plane-wave DFT calculation with meta-GGA SCAN was carried out for CaCo3 at its PBEsol-relaxed geometry.

Geometry as POSCAR:
```
CaCo3
1.0
-2.7268 2.4699 2.1144
-4.0175 0.3420 -1.3225
-3.1345 -1.7513 2.2615
Co Ca
3 1
Direct
0.5000 0.5000 0.5000
0.2500 0.2500 0.2500
0.7500 0.7500 0.7500
0.0000 0.0000 0.0000
```

Output
Density of states at the Fermi level = 2.537 states/eV/f.u.
E_tot = -59.3 eV for the cell shown

***

| no. | total moment (μB/f.u.) |
| --- | --- |
| 1 | 0.00 |
| 2 | 0.00 |
| 3 | 1.98 |
| 4 | 0.56 |
| 5 | 0.00 |
| 6 | 5.00 |
| 7 | 0.00 |
| 8 | 0.23 |
| 9 | 0.34 |
| 10 | 0.37 |
| 11 | 0.73 |
| 12 | 4.80 |